Entry from the Alexandria database: an optimized crystal structure of YPd3O4 (GGA-PBE).

abc: 5.883 5.883 5.883
angles: 90.00 90.00 90.00
Element x y z (fractional)
Y 0.000 0.000 0.000
Y 0.500 0.500 0.500
O 0.250 0.250 0.250
O 0.250 0.750 0.250
O 0.250 0.250 0.750
O 0.250 0.750 0.750
O 0.750 0.250 0.250
O 0.750 0.250 0.750
O 0.750 0.750 0.250
O 0.750 0.750 0.750
Pd 0.000 0.500 0.250
Pd 0.000 0.500 0.750
Pd 0.250 0.000 0.500
Pd 0.500 0.250 0.000
Pd 0.500 0.750 0.000
Pd 0.750 0.000 0.500

Calculated values
Uncorrected formation energy in eV/atom: -1.283


Entry from the Alexandria database: an optimized crystal structure of DyEr6 (GGA-PBE).

abc: 6.944 6.944 6.944
angles: 109.47 109.47 109.47
Element x y z (fractional)
Dy 0.000 0.000 0.000
Er 0.250 0.750 0.500
Er 0.500 0.750 0.250
Er 0.250 0.500 0.750
Er 0.750 0.250 0.500
Er 0.500 0.250 0.750
Er 0.750 0.500 0.250

Calculated values
Formation energy from the elements in eV/atom: 1.556


Entry from the Alexandria database: an optimized crystal structure of Y4SnHgO (GGA-PBE).

abc: 6.529 6.529 8.813
angles: 90.00 111.74 90.00
Element x y z (fractional)
Y 0.932 0.250 0.864
Y 0.417 0.750 0.833
Y 0.068 0.750 0.136
Y 0.583 0.250 0.167
Y 0.500 0.500 0.500
Y 0.000 0.000 0.500
Y 0.500 0.000 0.500
Y 0.000 0.500 0.500
Sn 0.609 0.750 0.219
Sn 0.391 0.250 0.781
Hg 0.116 0.250 0.232
Hg 0.884 0.750 0.768
O 0.263 0.750 0.526
O 0.737 0.250 0.474

Calculated values
Uncorrected formation energy in eV/atom: -1.228


Entry from the Alexandria database: an optimized crystal structure of La2TbN2Cl2 (GGA-PBE).

abc: 4.547 4.547 8.292
angles: 105.91 105.91 90.00
Element x y z (fractional)
La 0.401 0.401 0.802
La 0.599 0.599 0.198
Tb 0.000 0.000 0.000
N 0.000 0.500 0.000
N 0.500 0.000 0.000
Cl 0.184 0.184 0.369
Cl 0.816 0.816 0.631

Calculated values
Uncorrected formation energy in eV/atom: -1.577


Entry from the Alexandria database: an optimized crystal structure of CeAg3Br9 (GGA-PBE).

abc: 7.745 11.402 12.240
angles: 71.04 71.56 70.14
Element x y z (fractional)
Ce 0.002 0.501 0.995
Ce 0.502 0.001 0.495
Ag 0.689 0.604 0.788
Ag 0.920 0.104 0.288
Ag 0.085 0.897 0.701
Ag 0.317 0.397 0.201
Ag 0.643 0.251 0.744
Ag 0.362 0.751 0.244
Br 0.555 0.160 0.255
Br 0.030 0.660 0.755
Br 0.306 0.312 0.913
Br 0.470 0.812 0.413
Br 0.111 0.111 0.527
Br 0.250 0.611 0.027
Br 0.699 0.690 0.076
Br 0.534 0.190 0.576
Br 0.893 0.890 0.462
Br 0.754 0.390 0.962
Br 0.450 0.841 0.734
Br 0.976 0.341 0.234
Br 0.333 0.515 0.362
Br 0.790 0.015 0.862
Br 0.673 0.486 0.626
Br 0.214 0.986 0.126
Br 0.002 0.000 0.994
Br 0.003 0.500 0.494

Calculated values
Uncorrected formation energy in eV/atom: -0.745


Entry from the Alexandria database: an optimized crystal structure of LiSmLuAu (GGA-PBE).

abc: 5.107 5.107 5.107
angles: 60.00 60.00 60.00
Element x y z (fractional)
Lu 0.750 0.750 0.750
Au 0.000 0.000 0.000
Sm 0.250 0.250 0.250
Li 0.500 0.500 0.500

Calculated values
Formation energy from the elements in eV/atom: -0.396


Entry from the Alexandria database: an optimized crystal structure of Li2ZrMo (GGA-PBE).

abc: 4.663 2.588 5.966
angles: 79.46 90.00 90.00
Element x y z (fractional)
Li 0.000 0.125 0.019
Li 0.500 0.121 0.250
Mo 0.000 0.442 0.497
Zr 0.500 0.812 0.734

Calculated values
Formation energy from the elements in eV/atom: 0.346


Entry from the Alexandria database: an optimized crystal structure of CaBiP2O (GGA-PBE).

abc: 5.317 5.317 4.257
angles: 90.00 90.00 90.00
Element x y z (fractional)
P 0.000 0.500 0.000
P 0.500 0.000 0.000
Ca 0.500 0.500 0.500
Bi 0.000 0.000 0.000
O 0.000 0.000 0.500

Calculated values
Uncorrected formation energy in eV/atom: -0.006


Entry from the Alexandria database: an optimized crystal structure of GdErNiOs (GGA-PBE).

abc: 4.802 4.802 4.802
angles: 60.00 60.00 60.00
Element x y z (fractional)
Ni 0.500 0.500 0.500
Gd 0.750 0.750 0.750
Os 0.000 0.000 0.000
Er 0.250 0.250 0.250

Calculated values
Formation energy from the elements in eV/atom: -0.285


Entry from the Alexandria database: an optimized crystal structure of Ge3HCl (GGA-PBE).

abc: 4.448 4.448 4.448
angles: 90.00 90.00 90.00
Element x y z (fractional)
H 0.000 0.000 0.000
Ge 0.000 0.500 0.000
Ge 0.000 0.000 0.500
Ge 0.500 0.000 0.000
Cl 0.500 0.500 0.500

Calculated values
Final energy in eV/cell: -16.28


Entry from the Alexandria database: an optimized crystal structure of Pm2TlRu (GGA-PBE).

abc: 3.454 3.454 8.645
angles: 90.00 90.00 90.00
Element x y z (fractional)
Ru 0.500 0.500 0.000
Tl 0.500 0.500 0.500
Pm 0.000 0.000 0.799
Pm 0.000 0.000 0.201

Calculated values
Formation energy from the elements in eV/atom: -0.300


Entry from the Alexandria database: an optimized crystal structure of GaGeOsF2 (GGA-PBE).

abc: 3.834 5.287 3.834
angles: 90.00 90.00 90.00
Element x y z (fractional)
Ge 0.000 0.000 0.000
Os 0.000 0.500 0.000
Ga 0.500 0.500 0.500
F 0.000 0.000 0.500
F 0.500 0.000 0.000

Calculated values
Uncorrected formation energy in eV/atom: -0.507


Entry from the Alexandria database: an optimized crystal structure of KRu2 (GGA-PBE).

abc: 2.819 2.819 7.946
angles: 90.00 90.00 120.00
Element x y z (fractional)
K 0.000 0.000 0.000
Ru 0.333 0.667 0.626
Ru 0.667 0.333 0.374

Calculated values
Formation energy from the elements in eV/atom: 0.914


Entry from the Alexandria database: an optimized crystal structure of Zr5Mo3 (GGA-PBE).

abc: 5.982 5.982 4.645
angles: 90.00 90.00 108.16
Element x y z (fractional)
Zr 0.000 0.000 0.000
Zr 0.500 0.000 0.000
Zr 0.000 0.500 0.000
Zr 0.725 0.725 0.500
Zr 0.275 0.275 0.500
Mo 0.500 0.500 0.000
Mo 0.765 0.235 0.500
Mo 0.235 0.765 0.500

Calculated values
Formation energy from the elements in eV/atom: 0.072


Entry from the Alexandria database: an optimized crystal structure of Ba2CoTe2 (GGA-PBE).

abc: 6.691 6.691 6.691
angles: 118.35 118.35 92.88
Element x y z (fractional)
Ba 0.250 0.750 0.500
Ba 0.750 0.250 0.500
Co 0.000 0.000 0.000
Te 0.269 0.269 0.000
Te 0.731 0.731 0.000

Calculated values
Uncorrected formation energy in eV/atom: -0.660


Entry from the Alexandria database: an optimized crystal structure of KZr2Rh (GGA-PBE).

abc: 6.317 6.317 6.317
angles: 150.60 126.40 62.31
Element x y z (fractional)
K 0.750 0.250 0.500
Rh 0.250 0.750 0.500
Zr 0.053 0.053 0.000
Zr 0.447 0.447 0.000

Calculated values
Formation energy from the elements in eV/atom: 0.325


Entry from the Alexandria database: an optimized crystal structure of LaZnRu2 (GGA-PBE).

abc: 3.001 3.001 8.003
angles: 90.00 90.00 90.00
Element x y z (fractional)
La 0.500 0.500 0.756
Ru 0.000 0.000 0.054
Ru 0.500 0.500 0.243
Zn 0.000 0.000 0.447

Calculated values
Formation energy from the elements in eV/atom: 0.079


Entry from the Alexandria database: an optimized crystal structure of Rb2CuTe2S6 (GGA-PBE).

abc: 6.744 6.744 8.261
angles: 98.01 98.01 121.40
Element x y z (fractional)
Rb 0.838 0.162 0.000
Rb 0.162 0.838 0.000
Cu 0.000 0.000 0.500
Te 0.330 0.670 0.500
Te 0.670 0.330 0.500
S 0.765 0.765 0.666
S 0.062 0.395 0.687
S 0.235 0.235 0.334
S 0.395 0.062 0.687
S 0.938 0.605 0.313
S 0.605 0.938 0.313

Calculated values
Uncorrected formation energy in eV/atom: -0.311


Entry from the Alexandria database: an optimized crystal structure of AcLaTm (GGA-PBE).

abc: 5.681 3.689 10.830
angles: 80.19 90.00 90.00
Element x y z (fractional)
Ac 0.250 0.112 0.775
Ac 0.750 0.888 0.225
Tm 0.250 0.459 0.081
Tm 0.750 0.541 0.919
La 0.750 0.708 0.584
La 0.250 0.292 0.416

Calculated values
Formation energy from the elements in eV/atom: 0.053


Entry from the Alexandria database: an optimized crystal structure of CaTaAs2Se (GGA-PBE).

abc: 5.147 5.147 5.152
angles: 90.00 90.00 90.00
Element x y z (fractional)
As 0.000 0.500 0.000
As 0.500 0.000 0.000
Ca 0.000 0.000 0.000
Se 0.000 0.000 0.500
Ta 0.500 0.500 0.500

Calculated values
Uncorrected formation energy in eV/atom: 1.220


Entry from the Alexandria database: an optimized crystal structure of BeHg2Mo (GGA-PBE).

abc: 4.285 2.961 5.577
angles: 74.45 90.00 90.00
Element x y z (fractional)
Be 0.500 0.750 0.750
Mo 0.500 0.250 0.250
Hg 0.000 0.876 0.987
Hg 0.000 0.624 0.513

Calculated values
Formation energy from the elements in eV/atom: 0.654


Entry from the Alexandria database: an optimized crystal structure of LiCaSmSe3 (GGA-PBE).

abc: 4.119 8.570 8.898
angles: 101.32 90.00 90.00
Element x y z (fractional)
Li 0.250 0.084 0.583
Li 0.750 0.916 0.417
Ca 0.250 0.178 0.228
Ca 0.750 0.822 0.772
Sm 0.250 0.666 0.173
Sm 0.750 0.334 0.827
Se 0.750 0.898 0.131
Se 0.250 0.102 0.869
Se 0.250 0.785 0.502
Se 0.750 0.215 0.498
Se 0.750 0.422 0.168
Se 0.250 0.578 0.832

Calculated values
Uncorrected formation energy in eV/atom: -1.723


Entry from the Alexandria database: an optimized crystal structure of BaNi4SbAs2 (GGA-PBE).

abc: 4.007 4.007 9.492
angles: 90.00 90.00 90.00
Element x y z (fractional)
Ba 0.000 0.000 0.500
Ni 0.000 0.500 0.168
Ni 0.500 0.000 0.832
Ni 0.500 0.000 0.168
Ni 0.000 0.500 0.832
Sb 0.000 0.000 0.000
As 0.500 0.500 0.295
As 0.500 0.500 0.705

Calculated values
Uncorrected formation energy in eV/atom: -0.427


Entry from the Alexandria database: an optimized crystal structure of RbInGaCl6 (GGA-PBE).

abc: 5.511 7.375 7.959
angles: 88.46 92.26 77.03
Element x y z (fractional)
Rb 0.762 0.782 0.474
In 0.152 0.082 0.087
Ga 0.231 0.253 0.627
Cl 0.062 0.331 0.367
Cl 0.207 0.968 0.719
Cl 0.623 0.237 0.599
Cl 0.064 0.464 0.802
Cl 0.255 0.776 0.251
Cl 0.644 0.109 0.075

Calculated values
Uncorrected formation energy in eV/atom: -1.236


Entry from the Alexandria database: an optimized crystal structure of PdS3Cl (GGA-PBE).

abc: 4.782 4.782 4.782
angles: 90.00 90.00 90.00
Element x y z (fractional)
S 0.000 0.500 0.000
S 0.000 0.000 0.500
S 0.500 0.000 0.000
Pd 0.000 0.000 0.000
Cl 0.500 0.500 0.500

Calculated values
Uncorrected formation energy in eV/atom: 0.765